CdRe2Si | GGA-PBEsol | optimized geometry

```
CdRe2Si
1.0
-1.350 -0.139 -2.789
1.576 -4.010 -0.563
-3.581 -1.662 1.816
Re Si Cd
2 1 1
Direct
0.000 0.500 0.000
0.000 0.000 0.500
0.500 0.500 0.500
0.500 0.000 0.000
```

Values from the calculation:
E_form (uncorrected)   0.574 eV per atom
Magnetization   0.000 μB per atom
Polymorph energy (0 for the lowest one)   0.396 eV/atom